# CaZnP

A relaxed CaZnP crystal (PBE, the Alexandria database).

```
CaZnP
1.0
4.181 0.000 0.000
0.000 7.093 0.000
0.000 0.000 8.828
Ca P Zn
4 4 4
Direct
0.250 0.862 0.350
0.250 0.362 0.150
0.750 0.138 0.650
0.750 0.638 0.850
0.250 0.345 0.823
0.250 0.845 0.677
0.750 0.655 0.177
0.750 0.155 0.323
0.750 0.981 0.092
0.250 0.519 0.592
0.250 0.019 0.908
0.750 0.481 0.408
```

* magnetization: 0.00 μB per cell
* formation enthalpy at 0 K: -0.719 eV per atom
* SG: No. 62
* DFT total energy: -3.61 eV per atom

---

# CaZrP2

A relaxed CaZrP2 crystal (PBE, the Alexandria database).

```
CaZrP2
1.0
-1.415 -2.962 -0.744
2.230 -1.529 1.844
-4.238 0.611 5.631
Zr P Ca
1 2 1
Direct
0.500 0.500 0.250
0.000 0.000 0.030
0.000 0.000 0.470
0.500 0.500 0.750
```

* energy above the most stable polymorph in this dataset: 0.390 eV/atom
* magnetization: 0.00 μB per cell
* formation enthalpy at 0 K: -0.874 eV per atom
* SG: No. 47
* DFT total energy: -6.22 eV per atom